1.
Below is crystalline CrSbAsI2 at its relaxed geometry, with properties calculated at the GGA-PBE level.

Cell and atoms, written as POSCAR:
```
CrSbAsI2
1.0
-3.059 3.276 2.431
-3.660 -0.862 -3.444
-1.864 -3.942 2.968
I Sb As Cr
2 1 1 1
direct
0.000 0.500 0.000 I
0.500 0.000 0.000 I
0.000 0.000 0.500 Sb
0.500 0.500 0.500 As
0.000 0.000 0.000 Cr
```

Properties
The crystal system is tetragonal. The space group is P4/mmm (123). For the energy, the calculation gives -3.650 eV per atom.

2.
Below is crystalline CrAs2SeI at its relaxed geometry, with properties calculated at the GGA-PBE level.

Cell and atoms, written as POSCAR:
```
CrAs2SeI
1.0
4.881 0.000 0.000
0.000 4.881 0.000
0.000 0.000 4.595
I Cr As Se
1 1 2 1
direct
0.500 0.500 0.500 I
0.000 0.000 0.000 Cr
0.000 0.500 0.000 As
0.500 0.000 0.000 As
0.000 0.000 0.500 Se
```

Properties
The crystal system is tetragonal. The space group is P4/mmm (123). For the energy, the calculation gives -4.489 eV per atom.

3.
Below is crystalline CrAsSe2I at its relaxed geometry, with properties calculated at the GGA-PBE level.

Cell and atoms, written as POSCAR:
```
CrAsSe2I
1.0
-3.340 -2.385 2.134
1.073 -3.741 -2.501
3.443 -1.497 3.716
I Cr As Se
1 1 1 2
direct
0.500 0.500 0.500 I
0.000 0.000 0.000 Cr
0.000 0.000 0.500 As
0.000 0.500 0.000 Se
0.500 0.000 0.000 Se
```

Properties
The crystal system is tetragonal. The space group is P4/mmm (123). For the energy, the calculation gives -4.288 eV per atom.

4.
Below is crystalline CrAsSe2I at its relaxed geometry, with properties calculated at the GGA-PBE level.

Cell and atoms, written as POSCAR:
```
CrAsSe2I
1.0
-2.275 -3.981 -0.340
1.634 -1.381 5.228
-3.768 2.007 1.708
I Cr As Se
1 1 1 2
direct
0.000 0.500 0.000 I
0.000 0.000 0.000 Cr
0.500 0.500 0.500 As
0.000 0.000 0.500 Se
0.500 0.000 0.000 Se
```

Properties
The crystal system is tetragonal. The space group is P4/mmm (123). For the energy, the calculation gives -4.069 eV per atom.

5.
Below is crystalline CrSn2AsI at its relaxed geometry, with properties calculated at the GGA-PBE level.

Cell and atoms, written as POSCAR:
```
CrSn2AsI
1.0
-0.165 -2.586 4.569
-4.065 -2.689 -1.669
3.222 -3.659 -1.954
I Cr As Sn
1 1 1 2
direct
0.000 0.500 0.000 I
0.000 0.000 0.000 Cr
0.500 0.500 0.500 As
0.000 0.000 0.500 Sn
0.500 0.000 0.000 Sn
```

Properties
The crystal system is tetragonal. The space group is P4/mmm (123). For the energy, the calculation gives -4.161 eV per atom.

6.
Below is crystalline CrTe2AsI at its relaxed geometry, with properties calculated at the GGA-PBE level.

Cell and atoms, written as POSCAR:
```
CrTe2AsI
1.0
-0.960 -4.038 -2.792
4.891 -1.030 -0.192
-0.454 -2.992 4.484
I Cr As Te
1 1 1 2
direct
0.000 0.000 0.500 I
0.000 0.000 0.000 Cr
0.500 0.500 0.500 As
0.000 0.500 0.000 Te
0.500 0.000 0.000 Te
```

Properties
The crystal system is tetragonal. The space group is P4/mmm (123). For the energy, the calculation gives -3.750 eV per atom.

7.
Below is crystalline CrTe2AsI at its relaxed geometry, with properties calculated at the GGA-PBE level.

Cell and atoms, written as POSCAR:
```
CrTe2AsI
1.0
-1.806 -3.921 -3.452
1.859 -3.896 3.452
-4.879 -0.033 2.590
I Cr As Te
1 1 1 2
direct
0.000 0.000 0.500 I
0.500 0.500 0.500 Cr
0.000 0.000 0.000 As
0.000 0.500 0.000 Te
0.500 0.000 0.000 Te
```

Properties
The crystal system is tetragonal. The space group is P4/mmm (123). For the energy, the calculation gives -3.710 eV per atom.

8.
Below is crystalline TlCrAsI6 at its relaxed geometry, with properties calculated at the GGA-PBE level.

Cell and atoms, written as POSCAR:
```
TlCrAsI6
1.0
7.462 0.000 0.000
3.731 6.462 0.000
0.000 -0.001 7.663
Tl Cr As I
1 1 1 6
direct
0.000 0.000 0.000 Tl
0.667 0.667 0.500 Cr
0.333 0.333 0.500 As
0.995 0.373 0.286 I
0.373 0.995 0.714 I
0.632 0.373 0.714 I
0.995 0.632 0.714 I
0.373 0.632 0.286 I
0.632 0.995 0.286 I
```

Properties
The crystal system is trigonal. The space group is P312 (149). For the energy, the calculation gives -3.175 eV per atom.

9.
Below is crystalline CrIn2As2 at its relaxed geometry, with properties calculated at the GGA-PBE level.

Cell and atoms, written as POSCAR:
```
CrIn2As2
1.0
-4.011 0.475 4.901
-4.650 -2.445 -3.569
1.497 -5.399 1.749
Cr As In
2 4 4
direct
0.000 0.000 0.000 Cr
0.500 0.500 0.000 Cr
0.364 0.864 0.000 As
0.864 0.636 0.000 As
0.636 0.136 0.000 As
0.136 0.364 0.000 As
0.307 0.807 0.500 In
0.807 0.693 0.500 In
0.693 0.193 0.500 In
0.193 0.307 0.500 In
```

Properties
The formation energy comes out at 61.9 meV per atom. The crystal system is tetragonal. The space group is P4/mbm (127). For the energy, the calculation gives -4.818 eV per atom.

10.
Below is crystalline Cr4InAs at its relaxed geometry, with properties calculated at the GGA-PBE level.

Cell and atoms, written as POSCAR:
```
Cr4InAs
1.0
0.000 3.490 3.490
3.490 0.000 3.490
3.490 3.490 0.000
Cr In As
4 1 1
direct
0.873 0.376 0.376 Cr
0.376 0.376 0.873 Cr
0.376 0.873 0.376 Cr
0.376 0.376 0.376 Cr
0.750 0.750 0.750 In
0.000 0.000 0.000 As
```

Properties
The formation energy comes out at 458.8 meV per atom. The crystal system is cubic. The space group is F-43m (216). For the energy, the calculation gives -7.188 eV per atom.

11.
Below is crystalline CrIn3As at its relaxed geometry, with properties calculated at the GGA-PBE level.

Cell and atoms, written as POSCAR:
```
CrIn3As
1.0
5.208 0.000 0.000
0.000 5.208 0.000
0.000 0.000 5.208
Cr As In
1 1 3
direct
0.000 0.000 0.000 Cr
0.500 0.500 0.500 As
0.000 0.500 0.000 In
0.000 0.000 0.500 In
0.500 0.000 0.000 In
```

Properties
The formation energy comes out at 633.5 meV per atom. The crystal system is cubic. The space group is Pm-3m (221). For the energy, the calculation gives -3.864 eV per atom.

12.
Below is crystalline CrIn3As at its relaxed geometry, with properties calculated at the GGA-PBE level.

Cell and atoms, written as POSCAR:
```
CrIn3As
1.0
5.296 0.000 0.000
0.000 5.296 0.000
0.000 0.000 5.296
Cr As In
1 1 3
direct
0.500 0.500 0.500 Cr
0.000 0.000 0.000 As
0.000 0.500 0.000 In
0.000 0.000 0.500 In
0.500 0.000 0.000 In
```

Properties
The formation energy comes out at 1275.7 meV per atom. The crystal system is cubic. The space group is Pm-3m (221). For the energy, the calculation gives -3.222 eV per atom.

13.
Below is crystalline CrInAs4 at its relaxed geometry, with properties calculated at the GGA-PBE level.

Cell and atoms, written as POSCAR:
```
CrInAs4
1.0
0.313 -4.304 -3.667
-4.542 -1.453 -3.055
-0.107 1.013 -5.571
Cr In As
1 1 4
direct
0.750 0.750 0.750 Cr
0.000 0.000 0.000 In
0.876 0.375 0.375 As
0.375 0.375 0.876 As
0.375 0.876 0.375 As
0.375 0.375 0.375 As
```

Properties
The formation energy comes out at 466.9 meV per atom. The crystal system is cubic. The space group is F-43m (216). For the energy, the calculation gives -4.693 eV per atom.

14.
Below is crystalline CrInMoAs2 at its relaxed geometry, with properties calculated at the GGA-PBE level.

Cell and atoms, written as POSCAR:
```
CrInMoAs2
1.0
-1.710 4.314 1.563
-2.798 -2.223 3.073
3.549 0.187 3.367
Cr Mo As In
1 1 2 1
direct
0.000 0.500 0.000 Cr
0.000 0.000 0.000 Mo
0.000 0.000 0.500 As
0.500 0.000 0.000 As
0.500 0.500 0.500 In
```

Properties
The formation energy comes out at 816.6 meV per atom. The crystal system is tetragonal. The space group is P4/mmm (123). For the energy, the calculation gives -5.682 eV per atom.